# TeW2O8 | the Alexandria database | PBE+U | optimized geometry
# spin magnetization: 0.00 μB/f.u.
# distance to the lowest polymorph of the same formula: 4.710 kcal/mol of atoms
data_TeW2O8
_symmetry_space_group_name_H-M 'C 1 2/m 1'
_symmetry_Int_Tables_number 12
_symmetry_space_group_name_Hall '-C 2y'
_cell_length_a 13.355
_cell_length_b 5.458
_cell_length_c 5.557
_cell_angle_alpha 90.00
_cell_angle_beta 90.63
_cell_angle_gamma 90.00
loop_
_atom_site_label
_atom_site_type_symbol
_atom_site_fract_x
_atom_site_fract_y
_atom_site_fract_z
Te1 Te 0.000 0.000 0.000
W1 W 0.152 0.000 0.419
O1 O 0.091 0.241 0.236
O2 O 0.113 0.000 0.738
O3 O 0.216 0.500 0.610